Computed, not measured: NpCr2CoO8 after structural relaxation at the PBE+U level of DFT.

Lattice parameters (Å, degrees): 4.654 4.654 6.095 90.00 90.00 90.80
Element x y z (fractional)
Np: 0.000 0.000 0.000
Cr: 0.500 0.500 0.265
Cr: 0.500 0.500 0.735
Co: 0.000 0.000 0.500
O: 0.195 0.805 0.262
O: 0.195 0.805 0.738
O: 0.298 0.298 0.500
O: 0.312 0.312 0.000
O: 0.688 0.688 0.000
O: 0.702 0.702 0.500
O: 0.805 0.195 0.262
O: 0.805 0.195 0.738

Summary:
Raw total energy ... -0.583 Ry per atom